## LuCoAsO (GGA+U)

Data for a relaxed structure of LuCoAsO.

The structure belongs to space group P4/nmm (No. 129, origin choice 2); the cell edges are 3.875, 3.875 and 7.709 Å and the angles 90.00°, 90.00° and 90.00°. Symmetry generates all atoms from Lu at (0.250, 0.250, 0.136), Co at (0.250, 0.750, 0.500), As at (0.250, 0.250, 0.656) and O at (0.250, 0.750, 0.000).

The energy relative to the lowest polymorph listed for this composition comes out at 0.000 eV/atom.